Record 1
TbZnInTe3 | the Open Quantum Materials Database | PBE | optimized geometry; ρ = 6259 kg/m³; relative energy among the computed polymorphs = 11.86 kJ/mol of atoms
1.0
9.784 -2.177 0.000
9.784 2.177 0.000
-2.045 0.000 8.992
In Tb Te Zn
2 2 6 2
direct
0.131 0.131 0.071
0.869 0.869 0.929
0.829 0.829 0.419
0.171 0.171 0.581
0.500 0.500 0.000
0.323 0.323 0.180
0.669 0.669 0.349
0.000 0.000 0.500
0.331 0.331 0.651
0.677 0.677 0.820
0.464 0.464 0.278
0.536 0.536 0.722



Record 2
TbThIn | the Open Quantum Materials Database | PBE | optimized geometry; ρ = 8301 kg/m³; total energy = -14.6 eV/cell
1.0
-5.133 -0.110 0.996
-2.159 3.692 3.010
-3.153 3.592 -2.124
In Tb Th
1 1 1
direct
0.000 0.000 0.000
0.250 0.250 0.250
0.750 0.750 0.750



Record 3
Tb2Tl3In | the Open Quantum Materials Database | PBE | optimized geometry; ρ = 10850 kg/m³; relative energy among the computed polymorphs = 0.23 kJ/mol of atoms
1.0
2.352 -7.311 0.000
2.352 7.311 0.000
0.000 0.000 4.655
In Tb Tl
1 2 3
direct
0.500 0.500 0.000
0.846 0.154 0.000
0.154 0.846 0.000
0.000 0.000 0.500
0.675 0.325 0.500
0.325 0.675 0.500



Record 4
Tb3TlIn2 | the Open Quantum Materials Database | PBE | optimized geometry; ρ = 9368 kg/m³; total energy = -24.3 eV/cell
1.0
3.742 0.000 0.000
0.000 3.742 0.000
0.000 0.000 11.529
In Tb Tl
2 3 1
direct
0.500 0.500 0.165
0.500 0.500 0.835
0.000 0.000 0.000
0.000 0.000 0.330
0.000 0.000 0.670
0.500 0.500 0.500